A geometry-optimized NaLaZn3 structure, computed with PBE.

Cell lengths 5.7978, 5.7978, 5.7978 Å; angles 90.00, 90.00, 90.00 degrees
Sites, in units of the cell vectors:
1 Na 0.0000 0.0000 0.0000
2 La 0.5000 0.5000 0.5000
3 Zn 0.0000 0.5000 0.5000
4 Zn 0.5000 0.0000 0.5000
5 Zn 0.5000 0.5000 0.0000

Summary:
Energy above the most stable polymorph in this dataset ... 300 meV/atom
Magnetic moment ... 0.0 Bohr magnetons per cell
VASP energy ... -7.1 eV for the cell shown
ρ ... 3.05 g/cm3